Material: Zn6HgO6
Method: DFT, PBE
State: optimized geometry

Geometry as CIF:
```
data_Zn6HgO6
_cell_length_a 5.734
_cell_length_b 5.734
_cell_length_c 5.734
_cell_angle_alpha 90.00
_cell_angle_beta 90.00
_cell_angle_gamma 90.00
_symmetry_space_group_name_H-M 'P m -3'
_symmetry_Int_Tables_number 200
_symmetry_space_group_name_Hall '-P 2 2 3'
loop_
_atom_site_label
_atom_site_fract_x
_atom_site_fract_y
_atom_site_fract_z
Zn1 0.000 0.249 0.500
Hg1 0.000 0.000 0.000
O1 0.000 0.500 0.253
```

**Energy relative to the elements, uncorrected**: -15.8 eV per formula unit
**VASP energy**: -53.5 eV/cell

=====

Material: Zn2HgO
Method: DFT, PBE
State: optimized geometry

Geometry as CIF:
```
data_Zn2HgO
_cell_length_a 6.308
_cell_length_b 6.308
_cell_length_c 6.308
_cell_angle_alpha 90.00
_cell_angle_beta 90.00
_cell_angle_gamma 90.00
_symmetry_space_group_name_H-M 'F m -3 m'
_symmetry_Int_Tables_number 225
_symmetry_space_group_name_Hall '-F 4 2 3'
loop_
_atom_site_label
_atom_site_fract_x
_atom_site_fract_y
_atom_site_fract_z
Zn1 0.250 0.250 0.250
Hg1 0.000 0.000 0.000
O1 0.000 0.000 0.500
```

**Energy relative to the elements, uncorrected**: 0.8 eV per formula unit
**VASP energy**: -28.1 eV/cell

=====

Material: Zn5Hg3O12
Method: DFT, PBE
State: optimized geometry

Geometry as CIF:
```
data_Zn5Hg3O12
_cell_length_a 12.761
_cell_length_b 12.761
_cell_length_c 12.761
_cell_angle_alpha 90.00
_cell_angle_beta 90.00
_cell_angle_gamma 90.00
_symmetry_space_group_name_H-M 'I a -3 d'
_symmetry_Int_Tables_number 230
_symmetry_space_group_name_Hall '-I 4bd 2c 3'
loop_
_atom_site_label
_atom_site_fract_x
_atom_site_fract_y
_atom_site_fract_z
Zn1 0.000 0.000 0.000
Zn2 0.000 0.250 0.375
Hg1 0.000 0.250 0.125
O1 0.021 0.049 0.652
```

**Energy relative to the elements, uncorrected**: -7.9 eV per formula unit
**VASP energy**: -597.5 eV/cell

=====

Material: Zr2HgO
Method: DFT, PBE
State: optimized geometry

Geometry as CIF:
```
data_Zr2HgO
_cell_length_a 6.642
_cell_length_b 6.642
_cell_length_c 6.642
_cell_angle_alpha 90.00
_cell_angle_beta 90.00
_cell_angle_gamma 90.00
_symmetry_space_group_name_H-M 'F m -3 m'
_symmetry_Int_Tables_number 225
_symmetry_space_group_name_Hall '-F 4 2 3'
loop_
_atom_site_label
_atom_site_fract_x
_atom_site_fract_y
_atom_site_fract_z
Zr1 0.250 0.250 0.250
Hg1 0.000 0.000 0.000
O1 0.000 0.000 0.500
```

**Energy relative to the elements, uncorrected**: -1.0 eV per formula unit
**VASP energy**: -93.4 eV/cell

=====

Material: Zr2HgO
Method: DFT, PBE
State: optimized geometry

Geometry as CIF:
```
data_Zr2HgO
_cell_length_a 5.928
_cell_length_b 3.407
_cell_length_c 7.312
_cell_angle_alpha 90.00
_cell_angle_beta 105.57
_cell_angle_gamma 90.00
_symmetry_space_group_name_H-M 'C 1 2/m 1'
_symmetry_Int_Tables_number 12
loop_
_symmetry_equiv_pos_as_xyz
'x,y,z'
'-x,-y,-z'
'-x,y,-z'
'x,-y,z'
'x+1/2,y+1/2,z'
'-x+1/2,-y+1/2,-z'
'-x+1/2,y+1/2,-z'
'x+1/2,-y+1/2,z'
loop_
_atom_site_label
_atom_site_fract_x
_atom_site_fract_y
_atom_site_fract_z
Zr1 0.221 0.000 0.165
Hg1 0.000 0.000 0.500
O1 0.000 0.500 0.000
```

**Energy relative to the elements, uncorrected**: -5.1 eV per formula unit
**VASP energy**: -54.9 eV/cell

=====

Material: Zr2Hg2O
Method: DFT, PBE
State: optimized geometry

Geometry as CIF:
```
data_Zr2Hg2O
_cell_length_a 6.106
_cell_length_b 6.106
_cell_length_c 5.290
_cell_angle_alpha 90.00
_cell_angle_beta 90.00
_cell_angle_gamma 90.00
_symmetry_space_group_name_H-M 'P 4/m b m'
_symmetry_Int_Tables_number 127
_symmetry_space_group_name_Hall '-P 4 2ab'
loop_
_atom_site_label
_atom_site_fract_x
_atom_site_fract_y
_atom_site_fract_z
Zr1 0.176 0.324 0.000
Hg1 0.163 0.663 0.500
O1 0.000 0.000 0.000
```

**Energy relative to the elements, uncorrected**: -5.0 eV per formula unit
**VASP energy**: -55.4 eV/cell

=====

In g cm⁻³, the mass density values for the records above are, in order, 6.1 9.2 7.2 9.0 9.3 10.1.